The following is a GGA-PBE calculation of a geometry-optimized BaZrOs structure, from the Alexandria database.

It has space group I4mm (No. 107), with a = 3.4242 Å, b = 3.4242 Å, c = 14.1128 Å, α = 90.00°, β = 90.00° and γ = 90.00°. Symmetry generates all atoms from Ba at (0.0000, 0.0000, 0.0000), Zr at (0.0000, 0.0000, 0.2554) and Os at (0.0000, 0.0000, 0.6674).

For the relative energy among the computed polymorphs, the calculation gives 0.000 eV/atom.